(1)
A relaxed Sc3Ga8Co3 crystal. Source: the Alexandria database, functional PBE-GGA.

Calculated values
ΔE_f	-0.456	eV per atom
density of states at the Fermi level	8.56	states/eV/f.u.
magnetic moment	0.0000	μB per atom

a = 4.0200 Å, b = 9.5068 Å, c = 11.7258 Å
α = 90.00°, β = 90.00°, γ = 90.00°
Space group Immm (No. 71)
Inequivalent atoms, fractional coordinates:
Sc 0.0000 0.0000 0.0000 [2 per cell]
Sc 0.0000 0.0000 0.3302 [4 per cell]
Ga 0.0000 0.2923 0.1202 [8 per cell]
Ga 0.0000 0.3687 0.3396 [8 per cell]
Co 0.0000 0.2019 0.5000 [4 per cell]
Co 0.0000 0.5000 0.0000 [2 per cell]

=====

(2)
A relaxed CoSi2Rh crystal. Source: the Alexandria database, functional PBE-GGA.

Calculated values
polymorph energy (0 for the lowest one)	114.5	meV per atom
energy relative to the elements, uncorrected	-0.4715	eV per atom
density of states at the Fermi level	2.29	states/eV/f.u.
magnetic moment	0.1603	μB per atom

a = 2.7965 Å, b = 3.0506 Å, c = 5.6372 Å
α = 90.00°, β = 90.00°, γ = 90.00°
Space group Pmmm (No. 47)
Inequivalent atoms, fractional coordinates:
Co 0.0000 0.0000 0.0000 [1 per cell]
Si 0.5000 0.5000 0.2280 [2 per cell]
Rh 0.0000 0.0000 0.5000 [1 per cell]

=====

(3)
A relaxed CaCd3Sn3 crystal. Source: the Alexandria database, functional PBE-GGA.

Calculated values
ΔE_f	0.230	eV per atom
polymorph energy (0 for the lowest one)	317.5	meV per atom
density of states at the Fermi level	5.08	states/eV/f.u.
magnetic moment	0.0000	μB per atom

a = 7.9154 Å, b = 7.9154 Å, c = 7.9154 Å
α = 90.00°, β = 90.00°, γ = 90.00°
Space group Pm-3n (No. 223)
Inequivalent atoms, fractional coordinates:
Ca 0.0000 0.0000 0.0000 [2 per cell]
Cd 0.0000 0.2500 0.5000 [6 per cell]
Sn 0.0000 0.5000 0.2500 [6 per cell]

=====

(4)
A relaxed Er8Ir2Pt crystal. Source: the Alexandria database, functional PBE-GGA.

Calculated values
ΔE_f	-0.582	eV per atom
polymorph energy (0 for the lowest one)	60.8	meV per atom
density of states at the Fermi level	10.32	states/eV/f.u.
magnetic moment	0.0000	μB per atom

a = 8.4129 Å, b = 12.4211 Å, c = 5.8133 Å
α = 90.00°, β = 107.94°, γ = 90.00°
Space group Cm (No. 8)
Inequivalent atoms, fractional coordinates:
Er 0.0000 0.0000 0.0000 [2 per cell]
Er 0.0717 0.3692 0.7801 [4 per cell]
Er 0.1607 0.1310 0.5842 [4 per cell]
Er 0.2260 0.5000 0.3731 [2 per cell]
Er 0.3628 0.2204 0.1877 [4 per cell]
Ir 0.3675 0.3123 0.6883 [4 per cell]
Pt 0.3625 0.0000 0.3452 [2 per cell]

=====

(5)
A relaxed ZnReSe crystal. Source: the Alexandria database, functional PBE-GGA.

Calculated values
polymorph energy (0 for the lowest one)	360.7	meV per atom
energy relative to the elements, uncorrected	0.5229	eV per atom
density of states at the Fermi level	2.90	states/eV/f.u.
magnetic moment	0.0003	μB per atom

a = 2.9200 Å, b = 4.9456 Å, c = 15.4255 Å
α = 90.00°, β = 90.00°, γ = 90.00°
Space group Fmm2 (No. 42)
Inequivalent atoms, fractional coordinates:
Zn 0.0000 0.0000 0.0000 [4 per cell]
Re 0.0000 0.0000 0.3544 [4 per cell]
Se 0.0000 0.0000 0.7221 [4 per cell]

=====

(6)
A relaxed FeRe2Ru crystal. Source: the Alexandria database, functional PBE-GGA.

Calculated values
ΔE_f	0.052	eV per atom
polymorph energy (0 for the lowest one)	65.4	meV per atom
density of states at the Fermi level	3.23	states/eV/f.u.
magnetic moment	0.0001	μB per atom

a = 2.7059 Å, b = 3.7265 Å, c = 5.4194 Å
α = 90.00°, β = 90.00°, γ = 90.00°
Space group Pmmm (No. 47)
Inequivalent atoms, fractional coordinates:
Fe 0.0000 0.0000 0.0000 [1 per cell]
Re 0.5000 0.5000 0.2351 [2 per cell]
Ru 0.0000 0.0000 0.5000 [1 per cell]

=====

(7)
A relaxed MgReAu crystal. Source: the Alexandria database, functional PBE-GGA.

Calculated values
ΔE_f	0.436	eV per atom
polymorph energy (0 for the lowest one)	250.0	meV per atom
density of states at the Fermi level	2.39	states/eV/f.u.
magnetic moment	0.2572	μB per atom

a = 2.7188 Å, b = 4.1534 Å, c = 8.9058 Å
α = 90.00°, β = 90.00°, γ = 90.00°
Space group Imm2 (No. 44)
Inequivalent atoms, fractional coordinates:
Mg 0.0000 0.0000 0.0000 [2 per cell]
Re 0.0000 0.0000 0.3330 [2 per cell]
Au 0.0000 0.0000 0.6637 [2 per cell]

=====

(8)
A relaxed Sc2AuBr crystal. Source: the Alexandria database, functional PBE-GGA.

Calculated values
polymorph energy (0 for the lowest one)	325.0	meV per atom
energy relative to the elements, uncorrected	-0.4681	eV per atom
density of states at the Fermi level	3.57	states/eV/f.u.
magnetic moment	0.0000	μB per atom

a = 3.9400 Å, b = 3.9400 Å, c = 11.4115 Å
α = 90.00°, β = 90.00°, γ = 90.00°
Space group I-4m2 (No. 119)
Inequivalent atoms, fractional coordinates:
Sc 0.0000 0.0000 0.0000 [2 per cell]
Sc 0.0000 0.5000 0.2500 [2 per cell]
Au 0.0000 0.5000 0.7500 [2 per cell]
Br 0.0000 0.0000 0.5000 [2 per cell]

=====

(9)
A relaxed TlZnCSe2 crystal. Source: the Alexandria database, functional PBE-GGA.

Calculated values
energy relative to the elements, uncorrected	0.9390	eV per atom
density of states at the Fermi level	3.70	states/eV/f.u.
magnetic moment	0.0000	μB per atom

a = 4.3505 Å, b = 4.3505 Å, c = 5.6604 Å
α = 90.00°, β = 90.00°, γ = 90.00°
Space group P4/mmm (No. 123)
Inequivalent atoms, fractional coordinates:
Tl 0.0000 0.0000 0.0000 [1 per cell]
Zn 0.5000 0.5000 0.0000 [1 per cell]
C 0.0000 0.0000 0.5000 [1 per cell]
Se 0.0000 0.5000 0.5000 [2 per cell]

=====

(10)
A relaxed MnSb2S4 crystal. Source: the Alexandria database, functional PBE-GGA.

Calculated values
polymorph energy (0 for the lowest one)	0.0	meV per atom
energy relative to the elements, uncorrected	-0.3477	eV per atom
magnetic moment	0.7143	μB per atom

a = 12.6680 Å, b = 3.8292 Å, c = 15.4923 Å
α = 90.00°, β = 113.71°, γ = 90.00°
Space group C2/m (No. 12)
Inequivalent atoms, fractional coordinates:
Mn 0.0000 0.0000 0.0000 [2 per cell]
Mn 0.0000 0.0000 0.5000 [2 per cell]
Sb 0.1460 0.5000 0.3733 [4 per cell]
Sb 0.2314 0.0000 0.8758 [4 per cell]
S 0.0060 0.0000 0.6632 [4 per cell]
S 0.1135 0.5000 0.9604 [4 per cell]
S 0.1549 0.5000 0.5375 [4 per cell]
S 0.1582 0.0000 0.1667 [4 per cell]

=====

(11)
A relaxed Ca2SiSb crystal. Source: the Alexandria database, functional PBE-GGA.

Calculated values
polymorph energy (0 for the lowest one)	20.2	meV per atom
energy relative to the elements, uncorrected	-0.4883	eV per atom
density of states at the Fermi level	1.53	states/eV/f.u.
magnetic moment	0.0000	μB per atom

a = 6.6444 Å, b = 8.4628 Å, c = 3.6802 Å
α = 90.00°, β = 90.00°, γ = 90.00°
Space group Cmmm (No. 65)
Inequivalent atoms, fractional coordinates:
Ca 0.2500 0.2500 0.0000 [4 per cell]
Si 0.0000 0.0000 0.5000 [2 per cell]
Sb 0.0000 0.5000 0.5000 [2 per cell]

=====

(12)
A relaxed CsHfTe2Cl crystal. Source: the Alexandria database, functional PBE-GGA.

Calculated values
polymorph energy (0 for the lowest one)	165.6	meV per atom
energy relative to the elements, uncorrected	-1.0849	eV per atom
density of states at the Fermi level	1.55	states/eV/f.u.
magnetic moment	0.0000	μB per atom

a = 5.7055 Å, b = 5.7055 Å, c = 5.2000 Å
α = 90.00°, β = 90.00°, γ = 90.00°
Space group P4/mmm (No. 123)
Inequivalent atoms, fractional coordinates:
Cs 0.0000 0.0000 0.0000 [1 per cell]
Hf 0.5000 0.5000 0.5000 [1 per cell]
Te 0.0000 0.5000 0.5000 [2 per cell]
Cl 0.5000 0.5000 0.0000 [1 per cell]

=====

(13)
A relaxed KNa8Au4 crystal. Source: the Alexandria database, functional PBE-GGA.

Calculated values
ΔE_f	-0.213	eV per atom
density of states at the Fermi level	4.41	states/eV/f.u.
magnetic moment	0.0000	μB per atom

a = 10.3830 Å, b = 10.3830 Å, c = 6.4575 Å
α = 90.00°, β = 90.00°, γ = 90.00°
Space group I4/mmm (No. 139)
Inequivalent atoms, fractional coordinates:
K 0.0000 0.0000 0.0000 [2 per cell]
Na 0.0000 0.2259 0.5000 [8 per cell]
Na 0.0000 0.3268 0.0000 [8 per cell]
Au 0.2500 0.2500 0.2500 [8 per cell]

=====

(14)
A relaxed CrIn2Os crystal. Source: the Alexandria database, functional PBE-GGA.

Calculated values
ΔE_f	0.246	eV per atom
polymorph energy (0 for the lowest one)	0.0	meV per atom
density of states at the Fermi level	3.10	states/eV/f.u.
magnetic moment	0.0004	μB per atom

a = 2.9728 Å, b = 2.9728 Å, c = 8.3099 Å
α = 90.00°, β = 90.00°, γ = 90.00°
Space group P4mm (No. 99)
Inequivalent atoms, fractional coordinates:
Cr 0.0000 0.0000 0.0000 [1 per cell]
In 0.0000 0.0000 0.5894 [1 per cell]
In 0.5000 0.5000 0.2388 [1 per cell]
Os 0.5000 0.5000 0.8424 [1 per cell]

=====

(15)
A relaxed Zr2InSb crystal. Source: the Alexandria database, functional PBE-GGA.

Calculated values
polymorph energy (0 for the lowest one)	63.2	meV per atom
energy relative to the elements, uncorrected	-0.3231	eV per atom
density of states at the Fermi level	2.61	states/eV/f.u.
magnetic moment	0.0000	μB per atom

a = 11.2075 Å, b = 3.2443 Å, c = 5.1986 Å
α = 90.00°, β = 103.74°, γ = 90.00°
Space group Cm (No. 8)
Inequivalent atoms, fractional coordinates:
Zr 0.0000 0.0000 0.0000 [2 per cell]
Zr 0.2295 0.0000 0.5913 [2 per cell]
In 0.4862 0.0000 0.4988 [2 per cell]
Sb 0.2378 0.5000 0.0926 [2 per cell]

=====

(16)
A relaxed PrEr3Th4Se8 crystal. Source: the Alexandria database, functional PBE-GGA.

Calculated values
energy relative to the elements, uncorrected	-1.6299	eV per atom
density of states at the Fermi level	5.86	states/eV/f.u.
magnetic moment	0.0000	μB per atom

a = 8.1077 Å, b = 8.1077 Å, c = 21.3047 Å
α = 90.00°, β = 90.00°, γ = 120.00°
Space group R-3m (No. 166, hexagonal axes)
Inequivalent atoms, fractional coordinates:
Pr 0.0000 0.0000 0.0000 [3 per cell]
Er 0.0000 0.5000 0.0000 [9 per cell]
Th 0.0000 0.0000 0.5000 [3 per cell]
Th 0.0000 0.5000 0.5000 [9 per cell]
Se 0.0000 0.0000 0.2564 [6 per cell]
Se 0.0091 0.5046 0.2544 [18 per cell]

=====

(17)
A relaxed Ba2ReAs crystal. Source: the Alexandria database, functional PBE-GGA.

Calculated values
ΔE_f	0.768	eV per atom
density of states at the Fermi level	5.01	states/eV/f.u.
magnetic moment	0.9510	μB per atom

a = 4.7298 Å, b = 4.7543 Å, c = 6.7037 Å
α = 90.00°, β = 90.00°, γ = 90.00°
Space group Pmm2 (No. 25)
Inequivalent atoms, fractional coordinates:
Ba 0.0000 0.0000 0.0000 [1 per cell]
Ba 0.5000 0.5000 0.4994 [1 per cell]
Re 0.5000 0.5000 0.9992 [1 per cell]
As 0.0000 0.0000 0.5001 [1 per cell]

=====

(18)
A relaxed Tl2FeIr crystal. Source: the Alexandria database, functional PBE-GGA.

Calculated values
ΔE_f	0.644	eV per atom
polymorph energy (0 for the lowest one)	290.9	meV per atom
density of states at the Fermi level	2.84	states/eV/f.u.
magnetic moment	0.7570	μB per atom

a = 4.0579 Å, b = 4.0579 Å, c = 9.0627 Å
α = 90.00°, β = 90.00°, γ = 90.00°
Space group I-4m2 (No. 119)
Inequivalent atoms, fractional coordinates:
Tl 0.0000 0.0000 0.0000 [2 per cell]
Tl 0.0000 0.5000 0.2500 [2 per cell]
Fe 0.0000 0.5000 0.7500 [2 per cell]
Ir 0.0000 0.0000 0.5000 [2 per cell]

=====

(19)
A relaxed YOs3Rh crystal. Source: the Alexandria database, functional PBE-GGA.

Calculated values
ΔE_f	3.161	eV per atom
polymorph energy (0 for the lowest one)	1602.4	meV per atom
density of states at the Fermi level	8.50	states/eV/f.u.
magnetic moment	0.0000	μB per atom

a = 4.7668 Å, b = 4.7668 Å, c = 4.7668 Å
α = 90.00°, β = 90.00°, γ = 90.00°
Space group Pm-3m (No. 221)
Inequivalent atoms, fractional coordinates:
Y 0.0000 0.0000 0.0000 [1 per cell]
Os 0.0000 0.0000 0.5000 [3 per cell]
Rh 0.5000 0.5000 0.5000 [1 per cell]

=====

(20)
A relaxed VNi2Pt4 crystal. Source: the Alexandria database, functional PBE-GGA.

Calculated values
ΔE_f	-0.032	eV per atom
polymorph energy (0 for the lowest one)	147.9	meV per atom
density of states at the Fermi level	9.83	states/eV/f.u.
magnetic moment	0.1830	μB per atom

a = 5.3150 Å, b = 8.5257 Å, c = 4.6073 Å
α = 90.00°, β = 91.94°, γ = 90.00°
Space group C2/m (No. 12)
Inequivalent atoms, fractional coordinates:
V 0.0000 0.0000 0.0000 [2 per cell]
Ni 0.0812 0.5000 0.2575 [4 per cell]
Pt 0.0000 0.1657 0.5000 [4 per cell]
Pt 0.2500 0.2500 0.0000 [4 per cell]